First-principles (PBE-GGA) data for a relaxed structure of PrSmPa, as listed in Alexandria via LeMat-Bulk.

Lattice parameters (Å, degrees): 3.4847 3.4847 8.8031 90.00 90.00 120.00
Fractional coordinates of all 3 atoms:
1 Pr 0.3333 0.6667 0.6844
2 Pa 0.0000 0.0000 0.0021
3 Sm 0.6667 0.3333 0.3135

Calculated values
* E above lowest polymorph: 0.06 eV/f.u.
* calculated volume: 30.86 Å³/atom
* E_form: 180 meV per atom
* theoretical density: 9.369 g/cm³